*A*
MgNbF | GGA-PBE | relaxed

```
6
Lattice="6.1883 0.0000 -0.0064 0.0000 3.2622 0.0000 -0.7345 0.0000 4.5889" Properties=species:S:1:pos:R:3 pbc="T T T"
Mg 2.8849 0.0000 4.2585
Mg 3.2521 1.6311 1.9641
Nb 5.7252 0.0000 2.0840
Nb 5.3580 1.6311 4.3785
F 1.8848 0.0000 2.4797
F 2.2520 1.6311 0.1852
```

## Properties
N(E_F), states/eV per cell: 3.0


*B*
MgNbF | GGA-PBE | relaxed

```
12
Lattice="15.5621 0.0000 0.0000 0.0000 3.0649 0.0000 0.0000 0.0000 4.3869" Properties=species:S:1:pos:R:3 pbc="T T T"
F 3.8059 1.5325 3.2147
F 11.7562 1.5325 3.2147
F 11.5869 0.0000 1.0213
F 3.9752 0.0000 1.0213
Mg 2.6813 0.0000 2.5873
Mg 12.8808 0.0000 2.5873
Mg 10.4623 1.5325 0.3939
Mg 5.0998 1.5325 0.3939
Nb 7.7810 0.0000 0.4875
Nb 0.0000 1.5325 2.6810
Nb 7.7810 1.5325 2.6869
Nb 0.0000 0.0000 0.4934
```

## Properties
N(E_F), states/eV per cell: 2.2


*C*
MgNbF | GGA-PBE | relaxed

```
3
Lattice="-2.0042 -0.3674 -1.9312 1.1915 -5.6452 -0.1626 -1.6064 -0.4078 2.3870" Properties=species:S:1:pos:R:3 pbc="T T T"
Nb 0.1795 -5.7818 -1.1269
Mg -0.0814 -3.6237 1.0950
F -1.4157 -2.2334 0.1747
```

## Properties
N(E_F), states/eV per cell: 1.8


Energies relative to the most stable structure, in kJ/mol of atoms: *A* 29.1; *B* 0.0; *C* 33.8.